No. 1
La4TbCe3N8 | PBE | optimized geometry

Unit cell a=7.2573 b=7.2573 c=17.9325 alpha=90.00 beta=90.00 gamma=120.00
Space group R-3m (No. 166, hexagonal axes)
Symmetry-distinct sites (fractional):
La (0.0000, 0.0000, 0.0000) [3 per cell]
La (0.0000, 0.5000, 0.0000) [9 per cell]
Tb (0.0000, 0.0000, 0.5000) [3 per cell]
Ce (0.0000, 0.5000, 0.5000) [9 per cell]
N (0.0000, 0.0000, 0.2420) [6 per cell]
N (0.0025, 0.5013, 0.7573) [18 per cell]

Calculated values
Formation energy without anion corrections in eV per atom: -1.438

---

No. 2
LaCe2TcN4 | PBE | optimized geometry

Unit cell a=3.4778 b=12.0933 c=11.7092 alpha=90.00 beta=90.00 gamma=90.00
Space group Cmcm (No. 63)
Symmetry-distinct sites (fractional):
La (0.0000, 0.1117, 0.2500) [4 per cell]
Ce (0.0000, 0.3679, 0.0482) [8 per cell]
Tc (0.0000, 0.1474, 0.7500) [4 per cell]
N (0.0000, 0.0000, 0.0000) [4 per cell]
N (0.0000, 0.2658, 0.6245) [8 per cell]
N (0.0000, 0.4532, 0.2500) [4 per cell]

Calculated values
Formation energy without anion corrections in eV per atom: -1.101

---

No. 3
La2CeTcN4 | PBE | optimized geometry

Unit cell a=3.5108 b=12.0466 c=12.4602 alpha=90.00 beta=90.00 gamma=90.00
Space group Cmcm (No. 63)
Symmetry-distinct sites (fractional):
La (0.0000, 0.1325, 0.0434) [8 per cell]
Ce (0.0000, 0.3781, 0.2500) [4 per cell]
Tc (0.0000, 0.3512, 0.7500) [4 per cell]
N (0.0000, 0.0703, 0.2500) [4 per cell]
N (0.0000, 0.2217, 0.6431) [8 per cell]
N (0.0000, 0.5000, 0.0000) [4 per cell]

Calculated values
Formation energy without anion corrections in eV per atom: -0.910

---

No. 4
LaCe2Te2N2 | PBE | optimized geometry

Unit cell a=13.1433 b=4.0706 c=7.9888 alpha=90.00 beta=124.49 gamma=90.00
Space group C2/m (No. 12)
Symmetry-distinct sites (fractional):
La (0.0000, 0.0000, 0.0000) [2 per cell]
Ce (0.1917, 0.0000, 0.7795) [4 per cell]
Te (0.0738, 0.5000, 0.3604) [4 per cell]
N (0.2073, 0.0000, 0.0758) [4 per cell]

Calculated values
Formation energy without anion corrections in eV per atom: -1.529